# Ac3NdPb4 (PBE, relaxed)
# - V: 552.6 Å³ per cell
# - Total magnetization: 1.15 μB per formula unit
# - Final energy: -4.47 eV per atom
# - Fermi-level density of states: 14.07 states/eV per cell
data_Ac3NdPb4
_cell_length_a 6.1402
_cell_length_b 6.1402
_cell_length_c 14.6575
_cell_angle_alpha 90.00
_cell_angle_beta 90.00
_cell_angle_gamma 90.00
_space_group_name_H-M_alt 'I 4/m m m'
_space_group_IT_number 139
_space_group_name_Hall '-I 4 2'
loop_
_atom_site_label
_atom_site_fract_x
_atom_site_fract_y
_atom_site_fract_z
Ac1 0.0000 0.0000 0.0000
Ac2 0.0000 0.0000 0.2570
Nd1 0.0000 0.0000 0.5000
Pb1 0.0000 0.5000 0.1186